First-principles (PBE-GGA) data for CaLuIn4 after structural relaxation, as listed in Alexandria via LeMat-Bulk.

Lattice parameters (Å, degrees): 8.550 8.550 8.550 90.00 90.00 90.00
Space group F-43m (No. 216)
Symmetry-distinct sites (fractional):
Ca  0.000  0.000  0.000 [4 per cell]
Lu  0.250  0.250  0.750 [4 per cell]
In  0.125  0.125  0.375 [16 per cell]

The value obtained for the total moment is 0.00 μB/f.u.

First-principles (PBE-GGA) data for SrLaGa after structural relaxation, as listed in Alexandria via LeMat-Bulk.

Lattice parameters (Å, degrees): 17.099 5.691 3.981 90.00 90.02 90.00
Space group Cm (No. 8)
Symmetry-distinct sites (fractional):
Sr  0.000  0.000  0.000 [2 per cell]
Sr  0.201  0.000  0.507 [2 per cell]
La  0.168  0.500  0.006 [2 per cell]
La  0.374  0.000  0.012 [2 per cell]
Ga  0.026  0.500  0.506 [2 per cell]
Ga  0.325  0.500  0.504 [2 per cell]

The value obtained for the total moment is 0.00 μB/f.u.

First-principles (PBE-GGA) data for Na2SrPt after structural relaxation, as listed in Alexandria via LeMat-Bulk.

Lattice parameters (Å, degrees): 4.399 4.399 23.524 90.00 90.00 90.00
Space group I-42d (No. 122)
Symmetry-distinct sites (fractional):
Na  0.206  0.250  0.125 [8 per cell]
Sr  0.000  0.000  0.500 [4 per cell]
Pt  0.000  0.000  0.000 [4 per cell]

The value obtained for the total moment is 0.00 μB/f.u.

First-principles (PBE-GGA) data for La2Tb6Sm after structural relaxation, as listed in Alexandria via LeMat-Bulk.

Lattice parameters (Å, degrees): 7.6683 7.6683 6.0398 90.00 90.00 120.00
Space group P-3m1 (No. 164)
Symmetry-distinct sites (fractional):
La  0.3333  0.6667  0.2838 [2 per cell]
Tb  0.1880  0.3759  0.7912 [6 per cell]
Sm  0.0000  0.0000  0.5000 [1 per cell]

The value obtained for the total moment is 0.00 μB/f.u.

| no. | total energy (eV/atom) |
| --- | --- |
| 1 | -3.157 |
| 2 | -3.413 |
| 3 | -2.760 |
| 4 | -4.482 |